No. 1
Here is crystalline KZrTe2O6 at its relaxed geometry from Alexandria via LeMat-Bulk. Energies are from PBE.

Output
* space group: C2/c, No. 15
* N(E_F): 4.87 states/eV per cell
* E_tot: -6.27 eV/atom
* formation energy without anion corrections: -1.704 eV per atom

abc: 7.097 7.097 7.171
angles: 102.43 102.43 92.31
Fractional positions:
K: 0.083 0.917 0.750
K: 0.917 0.083 0.250
Zr: 0.285 0.715 0.250
Zr: 0.715 0.285 0.750
Te: 0.215 0.448 0.704
Te: 0.448 0.215 0.204
Te: 0.552 0.785 0.796
Te: 0.785 0.552 0.296
O: 0.004 0.264 0.710
O: 0.192 0.618 0.945
O: 0.264 0.004 0.210
O: 0.284 0.415 0.281
O: 0.382 0.808 0.555
O: 0.415 0.284 0.781
O: 0.585 0.716 0.219
O: 0.618 0.192 0.445
O: 0.716 0.585 0.719
O: 0.736 0.996 0.790
O: 0.808 0.382 0.055
O: 0.996 0.736 0.290

No. 2
Here is crystalline Tm3Sb3H2 at its relaxed geometry from Alexandria via LeMat-Bulk. Energies are from PBE.

Output
* space group: Cmcm, No. 63
* N(E_F): 6.46 states/eV per cell
* E_tot: -4.77 eV/atom

abc: 6.009 6.009 15.023
angles: 90.00 90.00 141.77
Fractional positions:
Tm: 0.147 0.853 0.551
Tm: 0.147 0.853 0.949
Tm: 0.149 0.851 0.250
Tm: 0.851 0.149 0.750
Tm: 0.853 0.147 0.051
Tm: 0.853 0.147 0.449
Sb: 0.132 0.868 0.750
Sb: 0.438 0.562 0.606
Sb: 0.438 0.562 0.894
Sb: 0.562 0.438 0.106
Sb: 0.562 0.438 0.394
Sb: 0.868 0.132 0.250
H: 0.270 0.730 0.058
H: 0.270 0.730 0.442
H: 0.730 0.270 0.558
H: 0.730 0.270 0.942

No. 3
Here is crystalline Y4Ge3Pd at its relaxed geometry from Alexandria via LeMat-Bulk. Energies are from PBE.

Output
* space group: Pmm2, No. 25
* N(E_F): 5.78 states/eV per cell
* E_tot: -6.49 eV/atom
* ΔH_f (0 K): -0.88 eV per atom

abc: 4.093 4.161 10.884
angles: 90.00 90.00 90.00
Fractional positions:
Y: 0.000 0.000 0.000
Y: 0.000 0.500 0.496
Y: 0.500 0.000 0.273
Y: 0.500 0.500 0.776
Ge: 0.000 0.000 0.718
Ge: 0.000 0.500 0.221
Ge: 0.500 0.000 0.550
Pd: 0.500 0.500 0.054

No. 4
Here is crystalline CdSnHg2Pb at its relaxed geometry from Alexandria via LeMat-Bulk. Energies are from PBE.

Output
* space group: P2_1/m, No. 11
* N(E_F): 3.47 states/eV per cell
* E_tot: -1.80 eV/atom
* ΔH_f (0 K): 0.05 eV per atom
* excess energy over the best structure of this formula in the dataset: 0.000 eV/f.u.

abc: 8.765 3.346 9.772
angles: 90.00 110.53 90.00
Fractional positions:
Cd: 0.197 0.250 0.025
Cd: 0.803 0.750 0.975
Sn: 0.187 0.750 0.542
Sn: 0.813 0.250 0.458
Hg: 0.022 0.250 0.241
Hg: 0.388 0.750 0.866
Hg: 0.612 0.250 0.134
Hg: 0.978 0.750 0.759
Pb: 0.416 0.750 0.333
Pb: 0.584 0.250 0.667

No. 5
Here is crystalline La6Tl2Sn at its relaxed geometry from Alexandria via LeMat-Bulk. Energies are from PBE.

Output
* space group: P-62m, No. 189
* N(E_F): 13.30 states/eV per cell
* E_tot: -4.66 eV/atom
* ΔH_f (0 K): -0.40 eV per atom

abc: 8.781 8.781 4.569
angles: 90.00 90.00 120.00
Fractional positions:
La: 0.000 0.272 0.000
La: 0.000 0.599 0.500
La: 0.272 0.000 0.000
La: 0.401 0.401 0.500
La: 0.599 0.000 0.500
La: 0.728 0.728 0.000
Tl: 0.333 0.667 0.000
Tl: 0.667 0.333 0.000
Sn: 0.000 0.000 0.500

No. 6
Here is crystalline Cd3GeRh at its relaxed geometry from Alexandria via LeMat-Bulk. Energies are from PBE.

Output
* space group: Pm-3m, No. 221
* N(E_F): 4.43 states/eV per cell
* E_tot: -2.48 eV/atom
* ΔH_f (0 K): 0.46 eV per atom
* excess energy over the best structure of this formula in the dataset: 0.000 eV/f.u.

abc: 5.106 5.106 5.106
angles: 90.00 90.00 90.00
Fractional positions:
Cd: 0.000 0.000 0.500
Cd: 0.000 0.500 0.000
Cd: 0.500 0.000 0.000
Ge: 0.500 0.500 0.500
Rh: 0.000 0.000 0.000

No. 7
Here is crystalline Cs2BaPuO6 at its relaxed geometry from Alexandria via LeMat-Bulk. Energies are from PBE.

Output
* space group: R-3, No. 148
* E_tot: -6.98 eV/atom
* formation energy without anion corrections: -2.206 eV per atom

abc: 6.611 6.611 6.611
angles: 59.99 59.99 59.99
Fractional positions:
Cs: 0.250 0.250 0.250
Cs: 0.750 0.750 0.750
Ba: 0.000 0.000 0.000
Pu: 0.500 0.500 0.500
O: 0.286 0.289 0.713
O: 0.287 0.714 0.711
O: 0.289 0.713 0.286
O: 0.711 0.287 0.714
O: 0.713 0.286 0.289
O: 0.714 0.711 0.287

No. 8
Here is crystalline Na3LiCe3Se8 at its relaxed geometry from Alexandria via LeMat-Bulk. Energies are from PBE.

Output
* space group: R-3m, No. 166
* E_tot: -4.86 eV/atom
* formation energy without anion corrections: -1.426 eV per atom

abc: 8.409 8.409 8.409
angles: 59.79 59.79 59.79
Fractional positions:
Na: 0.000 0.500 0.500
Na: 0.500 0.000 0.500
Na: 0.500 0.500 0.000
Li: 0.500 0.500 0.500
Ce: 0.000 0.000 0.500
Ce: 0.000 0.500 0.000
Ce: 0.500 0.000 0.000
Se: 0.234 0.743 0.743
Se: 0.246 0.246 0.246
Se: 0.257 0.257 0.766
Se: 0.257 0.766 0.257
Se: 0.743 0.234 0.743
Se: 0.743 0.743 0.234
Se: 0.754 0.754 0.754
Se: 0.766 0.257 0.257

No. 9
Here is crystalline SmGdMg4 at its relaxed geometry from Alexandria via LeMat-Bulk. Energies are from PBE.

Output
* space group: F-43m, No. 216
* N(E_F): 6.54 states/eV per cell
* E_tot: -4.29 eV/atom
* ΔH_f (0 K): -0.10 eV per atom

abc: 6.080 6.080 6.080
angles: 60.00 60.00 60.00
Fractional positions:
Sm: 0.000 0.000 0.000
Gd: 0.750 0.750 0.750
Mg: 0.375 0.375 0.375
Mg: 0.375 0.375 0.876
Mg: 0.375 0.876 0.375
Mg: 0.876 0.375 0.375

No. 10
Here is crystalline Cr2WSe at its relaxed geometry from Alexandria via LeMat-Bulk. Energies are from PBE.

Output
* space group: Pmmm, No. 47
* N(E_F): 3.44 states/eV per cell
* E_tot: -8.49 eV/atom
* formation energy without anion corrections: 0.432 eV per atom

abc: 3.066 4.264 4.385
angles: 90.00 90.00 90.00
Fractional positions:
Cr: 0.000 0.000 0.000
Cr: 0.500 0.000 0.500
W: 0.000 0.500 0.500
Se: 0.500 0.500 0.000

No. 11
Here is crystalline BaLi3Hg4F12 at its relaxed geometry from Alexandria via LeMat-Bulk. Energies are from PBE.

Output
* space group: Im-3, No. 204
* N(E_F): 2.76 states/eV per cell
* E_tot: -3.67 eV/atom
* formation energy without anion corrections: -2.101 eV per atom

abc: 7.428 7.428 7.428
angles: 109.47 109.47 109.47
Fractional positions:
Ba: 0.000 0.000 0.000
Li: 0.000 0.500 0.500
Li: 0.500 0.000 0.500
Li: 0.500 0.500 0.000
Hg: 0.000 0.000 0.500
Hg: 0.000 0.500 0.000
Hg: 0.500 0.000 0.000
Hg: 0.500 0.500 0.500
F: 0.152 0.315 0.467
F: 0.152 0.685 0.837
F: 0.163 0.848 0.315
F: 0.315 0.163 0.848
F: 0.315 0.467 0.152
F: 0.467 0.152 0.315
F: 0.533 0.848 0.685
F: 0.685 0.533 0.848
F: 0.685 0.837 0.152
F: 0.837 0.152 0.685
F: 0.848 0.315 0.163
F: 0.848 0.685 0.533

No. 12
Here is crystalline PrDyEr3Th at its relaxed geometry from Alexandria via LeMat-Bulk. Energies are from PBE.

Output
* space group: P2_1/m, No. 11
* N(E_F): 18.07 states/eV per cell
* E_tot: -5.05 eV/atom
* ΔH_f (0 K): 0.03 eV per atom

abc: 7.952 5.055 10.098
angles: 90.00 108.92 90.00
Fractional positions:
Pr: 0.168 0.250 0.292
Pr: 0.832 0.750 0.708
Dy: 0.499 0.250 0.628
Dy: 0.501 0.750 0.372
Er: 0.169 0.750 0.544
Er: 0.174 0.750 0.042
Er: 0.175 0.250 0.793
Er: 0.825 0.750 0.207
Er: 0.826 0.250 0.958
Er: 0.831 0.250 0.456
Th: 0.498 0.750 0.879
Th: 0.502 0.250 0.121

No. 13
Here is crystalline NdY2Bi at its relaxed geometry from Alexandria via LeMat-Bulk. Energies are from PBE.

Output
* space group: P4/mmm, No. 123
* N(E_F): 4.35 states/eV per cell
* E_tot: -5.76 eV/atom
* ΔH_f (0 K): -0.37 eV per atom
* excess energy over the best structure of this formula in the dataset: 0.273 eV/f.u.

abc: 4.057 4.057 7.529
angles: 90.00 90.00 90.00
Fractional positions:
Nd: 0.000 0.000 0.000
Y: 0.500 0.500 0.276
Y: 0.500 0.500 0.724
Bi: 0.000 0.000 0.500

No. 14
Here is crystalline Ce2SnSb3 at its relaxed geometry from Alexandria via LeMat-Bulk. Energies are from PBE.

Output
* space group: Immm, No. 71
* N(E_F): 8.93 states/eV per cell
* E_tot: -5.33 eV/atom
* excess energy over the best structure of this formula in the dataset: 0.727 eV/f.u.
* formation energy without anion corrections: -0.625 eV per atom

abc: 7.887 7.887 7.887
angles: 146.94 132.40 59.17
Fractional positions:
Ce: 0.165 0.165 0.000
Ce: 0.835 0.835 0.000
Sn: 0.500 0.500 0.000
Sb: 0.000 0.500 0.500
Sb: 0.327 0.827 0.500
Sb: 0.673 0.173 0.500

No. 15
Here is crystalline LaPr12Dy7 at its relaxed geometry from Alexandria via LeMat-Bulk. Energies are from PBE.

Output
* space group: R-3, No. 148
* N(E_F): 29.52 states/eV per cell
* E_tot: -4.48 eV/atom
* ΔH_f (0 K): 0.24 eV per atom
* excess energy over the best structure of this formula in the dataset: 0.774 eV/f.u.

abc: 11.617 11.617 11.617
angles: 116.82 116.82 116.82
Fractional positions:
La: 0.000 0.000 0.000
Pr: 0.068 0.422 0.423
Pr: 0.088 0.500 0.912
Pr: 0.088 0.912 0.500
Pr: 0.422 0.423 0.068
Pr: 0.423 0.068 0.422
Pr: 0.500 0.088 0.912
Pr: 0.500 0.912 0.088
Pr: 0.577 0.932 0.578
Pr: 0.578 0.577 0.932
Pr: 0.912 0.088 0.500
Pr: 0.912 0.500 0.088
Pr: 0.932 0.578 0.577
Dy: 0.125 0.125 0.371
Dy: 0.125 0.371 0.125
Dy: 0.371 0.125 0.125
Dy: 0.500 0.500 0.500
Dy: 0.629 0.875 0.875
Dy: 0.875 0.629 0.875
Dy: 0.875 0.875 0.629

No. 16
Here is crystalline CsCrCl2 at its relaxed geometry from Alexandria via LeMat-Bulk. Energies are from PBE.

Output
* space group: Fm-3m, No. 225
* N(E_F): 2.28 states/eV per cell
* E_tot: -4.17 eV/atom
* excess energy over the best structure of this formula in the dataset: 1.494 eV/f.u.
* formation energy without anion corrections: -0.631 eV per atom

abc: 5.461 5.461 5.461
angles: 60.00 60.00 60.00
Fractional positions:
Cs: 0.000 0.000 0.000
Cr: 0.500 0.500 0.500
Cl: 0.250 0.250 0.250
Cl: 0.750 0.750 0.750

No. 17
Here is crystalline TeAsPBr2 at its relaxed geometry from Alexandria via LeMat-Bulk. Energies are from PBE.

Output
* space group: P4/mmm, No. 123
* N(E_F): 1.20 states/eV per cell
* E_tot: -2.47 eV/atom
* excess energy over the best structure of this formula in the dataset: 2.014 eV/f.u.
* formation energy without anion corrections: 0.838 eV per atom

abc: 5.495 5.495 5.866
angles: 90.00 90.00 90.00
Fractional positions:
Te: 0.000 0.000 0.000
As: 0.000 0.000 0.500
P: 0.500 0.500 0.500
Br: 0.000 0.500 0.000
Br: 0.500 0.000 0.000

No. 18
Here is crystalline Si2TcRu2 at its relaxed geometry from Alexandria via LeMat-Bulk. Energies are from PBE.

Output
* space group: I4/mmm, No. 139
* N(E_F): 5.96 states/eV per cell
* E_tot: -7.93 eV/atom
* excess energy over the best structure of this formula in the dataset: 2.029 eV/f.u.
* formation energy without anion corrections: 0.027 eV per atom

abc: 5.486 5.486 5.486
angles: 137.32 137.32 61.94
Fractional positions:
Si: 0.120 0.120 0.000
Si: 0.880 0.880 0.000
Tc: 0.500 0.500 0.000
Ru: 0.250 0.750 0.500
Ru: 0.750 0.250 0.500

No. 19
Here is crystalline Y2MgIn at its relaxed geometry from Alexandria via LeMat-Bulk. Energies are from PBE.

Output
* space group: Imm2, No. 44
* N(E_F): 4.06 states/eV per cell
* E_tot: -4.58 eV/atom
* ΔH_f (0 K): -0.26 eV per atom

abc: 6.389 6.389 6.389
angles: 145.71 131.58 60.67
Fractional positions:
Y: 0.000 0.000 0.000
Y: 0.734 0.234 0.500
Mg: 0.468 0.468 0.000
In: 0.261 0.761 0.500

No. 20
Here is crystalline LaO3 at its relaxed geometry from Alexandria via LeMat-Bulk. Energies are from PBE.

Output
* space group: P2_1/m, No. 11
* E_tot: -7.09 eV/atom
* excess energy over the best structure of this formula in the dataset: 0.000 eV/f.u.
* formation energy without anion corrections: -2.139 eV per atom

abc: 4.127 4.060 6.849
angles: 90.00 105.16 90.00
Fractional positions:
La: 0.173 0.250 0.312
La: 0.827 0.750 0.688
O: 0.255 0.750 0.517
O: 0.256 0.250 0.894
O: 0.433 0.750 0.131
O: 0.567 0.250 0.869
O: 0.744 0.750 0.106
O: 0.745 0.250 0.483